This record from the Alexandria database describes a geometry-optimized Sr2SnPb3Se6 structure. The functional is PBE-GGA.

a = 4.3961 Å, b = 8.8110 Å, c = 9.8418 Å
α = 102.92°, β = 102.91°, γ = 90.00°
Closest atoms and distances in Å follow each position.
Element x y z (fractional)
1 Se 0.0007 0.7561 0.0015  2 Sn 3.08, 1 Sr 3.10, 3 Pb 3.11-3.15
2 Se 0.3361 0.9187 0.6723  1 Sn 3.06, 2 Sr 3.11, 3 Pb 3.11-3.16
3 Se 0.3333 0.4174 0.6665  3 Pb 3.11, 3 Sr 3.12-3.14
4 Se 0.6667 0.5826 0.3335  3 Pb 3.11, 3 Sr 3.12-3.14
5 Se 0.9993 0.2439 0.9985  2 Sn 3.08, 1 Sr 3.10, 3 Pb 3.11-3.15
6 Se 0.6639 0.0813 0.3277  1 Sn 3.06, 2 Sr 3.11, 3 Pb 3.11-3.16
7 Pb 0.8329 0.1668 0.6658  6 Se 3.11-3.16
8 Pb 0.5000 0.5000 0.0000  6 Se 3.11-3.15
9 Pb 0.1671 0.8332 0.3342  6 Se 3.11-3.16
10 Sr 0.1653 0.3309 0.3306  6 Se 3.10-3.14
11 Sr 0.8347 0.6691 0.6694  6 Se 3.10-3.14
12 Sn 0.5000 0.0000 0.0000  6 Se 3.06-3.08

Mass density in g/cm3: 6.38
Total moment in μB/cell: 0.00
VASP energy in eV per atom: -4.317
Uncorrected formation energy in eV per atom: -1.0339